An optimized crystal structure of TcNiW2, computed with GGA-PBE. Values from VASP.

Results
polymorph energy (0 for the lowest one): 1.93 kcal/mol of atoms
crystal system: tetragonal

The structure in Quantum ESPRESSO input format:
```
&SYSTEM
  ibrav = 0, nat = 4, ntyp = 3
/
ATOMIC_SPECIES
Tc 98.00 Tc.upf
Ni 58.69 Ni.upf
W 183.84 W.upf
ATOMIC_POSITIONS angstrom
Tc 0.000 0.000 0.000
Ni 0.000 0.000 2.794
W 1.613 1.613 1.491
W 1.613 1.613 4.097
CELL_PARAMETERS angstrom
3.226 0.000 0.000
0.000 3.226 0.000
0.000 0.000 5.588
```